The following is a PBE calculation of crystalline Hg3PbN at its relaxed geometry, from Alexandria.

Energy relative to the elements, uncorrected = 12.39 kcal/mol of atoms
Magnetic moment = 0.00 μB/cell
Uncorrected energy = -2.05 eV/atom
Space group = P-1 (2)
Energy relative to the lowest polymorph listed for this composition = 0.000 eV/atom

Cell: 3.9837 7.9840 8.4322 Å, 95.29 90.10 104.33°
Last column: nearest neighbours and their distance in Å.
Atoms (fractional coordinates):
Hg  0.0173  0.0318  0.2560  1 N 2.26
Hg  0.2150  0.4330  0.7451  1 N 2.24
Hg  0.3837  0.7669  0.9751  2 N 2.23
Hg  0.6163  0.2331  0.0249  2 N 2.23
Hg  0.7850  0.5670  0.2549  1 N 2.24
Hg  0.9827  0.9682  0.7440  1 N 2.26
Pb  0.3654  0.7318  0.5569  3 Hg 2.93-3.04
Pb  0.6346  0.2682  0.4431  3 Hg 2.93-3.04
N  0.1088  0.2185  0.9052  4 Hg 2.23-2.26
N  0.8912  0.7815  0.0948  4 Hg 2.23-2.26